Run one
Cu2Pt3Au PBE optimized geometry; space-group type = C2/c
1.0
2.797 -3.879 0.000
2.797 3.879 0.000
-2.770 0.000 8.308
Cu Pt Au
4 6 2
direct
0.044 0.294 0.087
0.294 0.044 0.587
0.706 0.956 0.413
0.956 0.706 0.913
0.212 0.462 0.424
0.375 0.625 0.750
0.462 0.212 0.924
0.538 0.788 0.076
0.625 0.375 0.250
0.788 0.538 0.576
0.125 0.875 0.250
0.875 0.125 0.750

---

Run two
Cu2Pt3Au PBE optimized geometry; space-group type = C2/m
1.0
7.008 -1.945 0.000
7.008 1.945 0.000
-4.532 0.000 6.605
Cu Pt Au
4 6 2
direct
0.085 0.085 0.213
0.251 0.251 0.130
0.749 0.749 0.870
0.915 0.915 0.787
0.088 0.088 0.714
0.252 0.252 0.626
0.417 0.417 0.544
0.583 0.583 0.456
0.748 0.748 0.374
0.912 0.912 0.286
0.412 0.412 0.036
0.588 0.588 0.964

---

Most stable: run one. Least stable: run two.

---

Run one
Cu3Pt2Au2 PBE optimized geometry; space-group type = R-3m
1.0
2.214 1.278 6.233
-2.214 1.278 6.233
0.000 -2.556 6.233
Cu Pt Au
3 2 2
direct
0.000 0.000 0.000
0.279 0.279 0.279
0.721 0.721 0.721
0.139 0.139 0.139
0.861 0.861 0.861
0.417 0.417 0.417
0.583 0.583 0.583

---

Run two
Cu3Pt2Au2 PBE optimized geometry; space-group type = P-1
1.0
2.822 0.000 0.000
1.407 5.936 0.000
0.020 2.668 6.249
Cu Pt Au
3 2 2
direct
0.000 0.000 0.000
0.431 0.140 0.290
0.569 0.860 0.710
0.132 0.734 0.427
0.868 0.266 0.573
0.292 0.418 0.861
0.708 0.582 0.139

---

Most stable: run two. Least stable: run one.

---

Run one
Cu5PtAu PBE optimized geometry; space-group type = C2/c
1.0
4.361 -2.548 0.000
4.361 2.548 0.000
-1.657 0.000 9.080
Cu Pt Au
10 2 2
direct
0.181 0.304 0.715
0.206 0.794 0.750
0.304 0.181 0.215
0.329 0.379 0.481
0.379 0.329 0.981
0.621 0.671 0.019
0.671 0.621 0.519
0.696 0.819 0.785
0.794 0.206 0.250
0.819 0.696 0.285
0.310 0.690 0.250
0.690 0.310 0.750
0.000 0.000 0.000
0.000 0.000 0.500

---

Run two
Cu5PtAu PBE optimized geometry; space-group type = Cmmm
1.0
5.204 0.000 0.000
0.000 7.469 0.000
0.000 0.000 5.271
Cu Pt Au
10 2 2
direct
0.000 0.000 0.000
0.250 0.250 0.247
0.250 0.250 0.753
0.250 0.750 0.247
0.250 0.750 0.753
0.500 0.500 0.000
0.750 0.250 0.247
0.750 0.250 0.753
0.750 0.750 0.247
0.750 0.750 0.753
0.000 0.500 0.000
0.500 0.000 0.000
0.000 0.000 0.500
0.500 0.500 0.500

---

Most stable: run two. Least stable: run one.

---

Run one
RbCu2Au2 PBE optimized geometry; space-group type = P4/mbm
1.0
8.177 0.000 0.000
0.000 8.177 0.000
0.000 0.000 2.897
Rb Cu Au
2 4 4
direct
0.000 0.000 0.000
0.500 0.500 0.000
0.111 0.389 0.000
0.389 0.889 0.000
0.611 0.111 0.000
0.889 0.611 0.000
0.177 0.677 0.500
0.323 0.177 0.500
0.677 0.823 0.500
0.823 0.323 0.500

---

Run two
RbCu2Au2 PBE optimized geometry; space-group type = P4/mbm
1.0
8.260 0.000 0.000
0.000 8.260 0.000
0.000 0.000 2.860
Rb Cu Au
2 4 4
direct
0.000 0.000 0.000
0.500 0.500 0.000
0.163 0.337 0.500
0.337 0.837 0.500
0.663 0.163 0.500
0.837 0.663 0.500
0.130 0.630 0.000
0.370 0.130 0.000
0.630 0.870 0.000
0.870 0.370 0.000

---

Most stable: run one. Least stable: run two.

---

Run one
RbCu2Au2 PBE optimized geometry; space-group type = I4/mmm
1.0
4.525 0.000 0.000
0.000 4.525 0.000
0.000 0.000 10.966
Rb Cu Au
2 4 4
direct
0.000 0.000 0.000
0.500 0.500 0.500
0.000 0.500 0.250
0.000 0.500 0.750
0.500 0.000 0.250
0.500 0.000 0.750
0.000 0.000 0.370
0.000 0.000 0.630
0.500 0.500 0.130
0.500 0.500 0.870

---

Run two
RbCu2Au2 PBE optimized geometry; space-group type = I4/mmm
1.0
4.583 0.000 0.000
0.000 4.583 0.000
0.000 0.000 10.488
Rb Cu Au
2 4 4
direct
0.000 0.000 0.000
0.500 0.500 0.500
0.000 0.000 0.377
0.000 0.000 0.623
0.500 0.500 0.123
0.500 0.500 0.877
0.000 0.500 0.250
0.000 0.500 0.750
0.500 0.000 0.250
0.500 0.000 0.750

---

Most stable: run one. Least stable: run two.

---

Run one
RbCu2Au PBE optimized geometry; space-group type = Fm-3m
1.0
6.959 0.000 0.000
0.000 6.959 0.000
0.000 0.000 6.959
Rb Cu Au
4 8 4
direct
0.000 0.000 0.000
0.000 0.500 0.500
0.500 0.000 0.500
0.500 0.500 0.000
0.250 0.250 0.250
0.250 0.250 0.750
0.250 0.750 0.250
0.250 0.750 0.750
0.750 0.250 0.250
0.750 0.250 0.750
0.750 0.750 0.250
0.750 0.750 0.750
0.000 0.000 0.500
0.000 0.500 0.000
0.500 0.000 0.000
0.500 0.500 0.500

---

Run two
RbCu2Au PBE optimized geometry; space-group type = I4_1/amd
1.0
4.957 0.000 0.000
0.000 4.957 0.000
0.000 0.000 17.811
Rb Cu Au
4 8 4
direct
0.000 0.250 0.375
0.000 0.750 0.625
0.500 0.250 0.125
0.500 0.750 0.875
0.000 0.000 0.000
0.000 0.500 0.000
0.250 0.250 0.750
0.250 0.750 0.250
0.500 0.000 0.500
0.500 0.500 0.500
0.750 0.250 0.750
0.750 0.750 0.250
0.000 0.250 0.875
0.000 0.750 0.125
0.500 0.250 0.625
0.500 0.750 0.375

---

Most stable: run two. Least stable: run one.